# NaTm4BiS8

An optimized crystal structure of NaTm4BiS8 (GGA-PBE, the Alexandria database).

a b c (Å): 8.0100 8.0100 20.0187
angles (deg): 90.00 90.00 120.00
With the nearest neighbours (Å) after each atom.
Space group R3m (No. 160, hexagonal axes)
Unique sites:
Na (0.0000, 0.0000, 0.0000) x3  4 S 2.67-2.70
Tm (0.0000, 0.0000, 0.2558) x3  4 S 2.59-2.65
Tm (0.1710, 0.3421, 0.4632) x9  6 S 2.65-2.81
Bi (0.0000, 0.0000, 0.6399) x3  6 S 2.69-2.99
S (0.0000, 0.0000, 0.3882) x3  4 Tm 2.65-2.81
S (0.0000, 0.0000, 0.8667) x3  3 Tm 2.65, 1 Na 2.67
S (0.0236, 0.5118, 0.3873) x9  2 Tm 2.68, 1 Bi 2.69, 1 Na 2.70
S (0.1726, 0.3453, 0.2067) x9  3 Tm 2.59-2.77

Values from the calculation:
- D(E_F) (states/eV/f.u.) = 0.00
- M_tot (μB/f.u.) = 0.0
- E_form (uncorrected) (eV per atom) = -1.66
- electronic total energy (eV per atom) = -5.6649
- density (g cm⁻³) = 5.2